A geometry-optimized LiLaPrZn structure, computed with PBE.

E_tot   -3.33 eV/atom
E above lowest polymorph   16 meV/atom

The structure in POSCAR format:
```
LiLaPrZn
1.0
7.565 0.000 0.000
0.000 7.565 0.000
0.000 0.000 7.565
Li La Pr Zn
4 4 4 4
direct
0.000 0.000 0.000
0.000 0.500 0.500
0.500 0.000 0.500
0.500 0.500 0.000
0.250 0.250 0.250
0.250 0.750 0.750
0.750 0.250 0.750
0.750 0.750 0.250
0.250 0.250 0.750
0.250 0.750 0.250
0.750 0.250 0.250
0.750 0.750 0.750
0.000 0.000 0.500
0.000 0.500 0.000
0.500 0.000 0.000
0.500 0.500 0.500
```

A geometry-optimized LiLaPrZn structure, computed with PBE.

E_tot   -3.34 eV/atom
E above lowest polymorph   0 meV/atom

The structure in POSCAR format:
```
LiLaPrZn
1.0
3.840 0.000 0.000
0.000 3.840 0.000
0.000 0.000 7.482
Li La Pr Zn
1 1 1 1
direct
0.000 0.000 0.000
0.500 0.500 0.278
0.500 0.500 0.733
0.000 0.000 0.511
```

A geometry-optimized LiLa2Pt structure, computed with PBE.

E_tot   -4.96 eV/atom

The structure in POSCAR format:
```
LiLa2Pt
1.0
4.341 0.000 0.000
-2.170 3.759 0.000
0.000 0.000 20.411
Li La Pt
3 6 3
direct
0.000 0.000 0.000
0.333 0.667 0.667
0.667 0.333 0.333
0.000 0.000 0.240
0.000 0.000 0.424
0.333 0.667 0.091
0.333 0.667 0.906
0.667 0.333 0.573
0.667 0.333 0.757
0.000 0.000 0.662
0.333 0.667 0.329
0.667 0.333 0.995
```

A geometry-optimized Li2LaPt structure, computed with PBE.

E_tot   -4.25 eV/atom
E above lowest polymorph   0 meV/atom

The structure in POSCAR format:
```
Li2LaPt
1.0
5.279 0.000 0.000
0.000 5.893 0.000
-1.781 0.000 5.416
Li La Pt
4 2 2
direct
0.070 0.040 0.278
0.070 0.460 0.278
0.930 0.540 0.722
0.930 0.960 0.722
0.467 0.250 0.791
0.533 0.750 0.209
0.403 0.750 0.678
0.597 0.250 0.322
```

> What is the formula in the first record?

LiLaPrZn